1.
# BaReHgPt2

A relaxed BaReHgPt2 crystal (PBE-GGA, the Alexandria database).

volume: 143.7 Å³ per cell
energy relative to the elements: 0.617 eV/atom

abc: 4.8999 4.8999 5.9848
angles: 90.00 90.00 90.00
Closest atoms and distances in Å follow each position.
Atoms (fractional coordinates):
Ba  0.0000  0.0000  0.0000  2 Re 2.99
Re  0.0000  0.0000  0.5000  4 Pt 2.45
Hg  0.5000  0.5000  0.0000  4 Ba 3.46, 8 Pt 3.87
Pt  0.0000  0.5000  0.5000  2 Re 2.45
Pt  0.5000  0.0000  0.5000  2 Re 2.45


2.
# Ba6HgPt2Rh

A relaxed Ba6HgPt2Rh crystal (PBE-GGA, the Alexandria database).

volume: 418.7 Å³ per cell
energy relative to the elements: -0.459 eV/atom

abc: 8.0415 8.0475 8.7932
angles: 62.79 62.79 60.05
Closest atoms and distances in Å follow each position.
Atoms (fractional coordinates):
Ba  0.0000  0.0000  0.0000  1 Rh 3.09, 2 Pt 3.20-3.22
Ba  0.1156  0.5499  0.5236  1 Rh 3.13, 2 Pt 3.20-3.21
Ba  0.2389  0.4027  0.0007  1 Rh 3.10, 2 Pt 3.20-3.22
Ba  0.4542  0.8754  0.5242  1 Rh 3.13, 2 Pt 3.20
Ba  0.6419  0.7608  0.0001  1 Rh 3.09, 2 Pt 3.20-3.22
Ba  0.7893  0.2144  0.5245  1 Rh 3.13, 2 Pt 3.20-3.21
Hg  0.5540  0.3129  0.2227  6 Ba 3.48-3.53
Pt  0.3765  0.1375  0.7522  6 Ba 3.20
Pt  0.8655  0.6264  0.2846  6 Ba 3.20-3.22
Rh  0.0466  0.8071  0.7418  6 Ba 3.09-3.13


3.
# Ba6Hg2PtRh

A relaxed Ba6Hg2PtRh crystal (PBE-GGA, the Alexandria database).

volume: 841.1 Å³ per cell
energy relative to the elements: -0.440 eV/atom

abc: 8.0411 8.7890 14.3606
angles: 90.00 124.03 90.00
Closest atoms and distances in Å follow each position.
Atoms (fractional coordinates):
Ba  0.1233  0.1912  0.4449  1 Rh 3.14, 1 Pt 3.15
Ba  0.1233  0.3088  0.9449  1 Rh 3.14, 1 Pt 3.15
Ba  0.2608  0.6848  0.4441  1 Rh 3.09, 1 Pt 3.21
Ba  0.2608  0.8152  0.9441  1 Rh 3.09, 1 Pt 3.21
Ba  0.3644  0.0246  0.2470  1 Rh 3.09, 1 Pt 3.16
Ba  0.3644  0.4754  0.7470  1 Rh 3.09, 1 Pt 3.16
Ba  0.6356  0.5246  0.2530  1 Rh 3.09, 1 Pt 3.16
Ba  0.6356  0.9754  0.7530  1 Rh 3.09, 1 Pt 3.16
Ba  0.7392  0.1848  0.0559  1 Rh 3.09, 1 Pt 3.21
Ba  0.7392  0.3152  0.5559  1 Rh 3.09, 1 Pt 3.21
Ba  0.8767  0.6912  0.0551  1 Rh 3.14, 1 Pt 3.15
Ba  0.8767  0.8088  0.5551  1 Rh 3.14, 1 Pt 3.15
Hg  0.2063  0.1010  0.7496  6 Ba 3.54-3.71
Hg  0.2063  0.3990  0.2496  6 Ba 3.54-3.71
Hg  0.7937  0.6010  0.7504  6 Ba 3.54-3.71
Hg  0.7937  0.8990  0.2504  6 Ba 3.54-3.71
Pt  0.5000  0.0000  0.5000  6 Ba 3.15-3.21
Pt  0.5000  0.5000  0.0000  6 Ba 3.15-3.21
Rh  0.0000  0.0000  0.0000  6 Ba 3.09-3.14
Rh  0.0000  0.5000  0.5000  6 Ba 3.09-3.14


4.
# Ba2HgSb4Pt3

A relaxed Ba2HgSb4Pt3 crystal (PBE-GGA, the Alexandria database).

volume: 260.1 Å³ per cell
formation energy without anion corrections: -715.2 meV/atom

abc: 4.8941 4.8941 10.8587
angles: 90.00 90.00 90.00
Closest atoms and distances in Å follow each position.
Atoms (fractional coordinates):
Ba  0.0000  0.5000  0.2505  2 Hg 3.65, 7 Pt 3.65-3.96, 8 Sb 3.66
Ba  0.5000  0.0000  0.7495  2 Hg 3.65, 7 Pt 3.65-3.96, 8 Sb 3.66
Hg  0.0000  0.0000  0.5000  4 Sb 2.87
Sb  0.0000  0.0000  0.0000  4 Pt 2.74
Sb  0.0000  0.5000  0.6386  3 Pt 2.69-2.87, 2 Hg 2.87
Sb  0.5000  0.0000  0.3614  3 Pt 2.69-2.87, 2 Hg 2.87
Sb  0.5000  0.5000  0.0000  4 Pt 2.74
Pt  0.0000  0.5000  0.8860  5 Sb 2.69-2.74
Pt  0.5000  0.0000  0.1140  5 Sb 2.69-2.74
Pt  0.5000  0.5000  0.5000  4 Sb 2.87


5.
# Ba2SiHgPt

A relaxed Ba2SiHgPt crystal (PBE-GGA, the Alexandria database).

volume: 180.1 Å³ per cell
formation energy without anion corrections: -552.5 meV/atom

abc: 6.2591 6.2591 4.5982
angles: 90.00 90.00 90.00
Closest atoms and distances in Å follow each position.
Atoms (fractional coordinates):
Ba  0.0000  0.5000  0.0000  2 Pt 3.13
Ba  0.5000  0.0000  0.0000  2 Pt 3.13
Si  0.0000  0.0000  0.5000  2 Pt 2.30
Hg  0.5000  0.5000  0.5000  8 Ba 3.88
Pt  0.0000  0.0000  0.0000  2 Si 2.30


6.
# Ba2Sn4HgPt3

A relaxed Ba2Sn4HgPt3 crystal (PBE-GGA, the Alexandria database).

volume: 257.6 Å³ per cell
energy relative to the elements: -0.691 eV/atom

abc: 4.8492 4.8492 10.9532
angles: 90.00 90.00 90.00
Closest atoms and distances in Å follow each position.
Atoms (fractional coordinates):
Ba  0.0000  0.5000  0.2479  8 Sn 3.64-3.67, 2 Hg 3.64, 7 Pt 3.64-4.05
Ba  0.5000  0.0000  0.7521  8 Sn 3.64-3.67, 2 Hg 3.64, 7 Pt 3.64-4.05
Sn  0.0000  0.0000  0.5000  4 Pt 2.74
Sn  0.0000  0.5000  0.8634  3 Pt 2.70-2.85, 2 Hg 2.85
Sn  0.5000  0.0000  0.1366  3 Pt 2.70-2.85, 2 Hg 2.85
Sn  0.5000  0.5000  0.5000  4 Pt 2.74
Hg  0.5000  0.5000  0.0000  4 Sn 2.85
Pt  0.0000  0.0000  0.0000  4 Sn 2.85
Pt  0.0000  0.5000  0.6172  5 Sn 2.70-2.74
Pt  0.5000  0.0000  0.3828  5 Sn 2.70-2.74